(1)
Cs3AlGe2 after structural relaxation. Source: the Alexandria database, functional PBE.

Geometry as extended XYZ:
```
12
Lattice="-0.6410 2.4289 3.6193 -11.8415 2.6418 -1.1887 -7.9309 -8.2240 6.7959" Properties=species:S:1:pos:R:3 pbc="T T T"
Cs -8.2227 -5.6450 5.0135
Cs -12.1908 2.4917 4.2130
Cs -16.0746 -4.5796 8.2707
Cs -4.3389 1.4263 0.9558
Cs -14.3949 -0.8743 6.0816
Cs -6.0185 -2.2790 3.1449
Al -11.3902 -3.3399 5.5870
Al -9.0232 0.1866 3.6395
Ge -12.4193 -3.1790 7.9781
Ge -7.9941 0.0257 1.2484
Ge -9.1564 -2.0106 5.0905
Ge -11.2571 -1.1427 4.1360
```

spin magnetization = 0.10 μB/atom
energy of formation = 0.026 eV per atom

(2)
CsAl2Ge after structural relaxation. Source: the Alexandria database, functional PBE.

Geometry as extended XYZ:
```
8
Lattice="5.5509 0.0000 0.0000 0.0000 5.5509 0.0000 2.7754 2.7754 8.8283" Properties=species:S:1:pos:R:3 pbc="T T T"
Cs 0.0000 0.0000 0.0000
Cs 5.5509 2.7754 4.4141
Ge 2.7754 2.7754 0.0000
Ge 2.7754 5.5509 4.4141
Al 2.7736 1.3877 2.2071
Al 2.7773 4.1632 2.2071
Al 4.1632 5.5527 6.6212
Al 6.9386 5.5490 6.6212
```

spin magnetization = 0.00 μB/atom
energy of formation = 0.255 eV per atom

(3)
CsAlGe3 after structural relaxation. Source: the Alexandria database, functional PBE.

Geometry as extended XYZ:
```
5
Lattice="5.7825 0.0000 0.0000 0.0000 5.7825 0.0000 0.0000 0.0000 5.7825" Properties=species:S:1:pos:R:3 pbc="T T T"
Cs 0.0000 0.0000 0.0000
Ge 0.0000 2.8913 0.0000
Ge 0.0000 0.0000 2.8913
Ge 2.8913 0.0000 0.0000
Al 2.8913 2.8913 2.8913
```

distance to the lowest polymorph of the same formula = 7.15 eV per formula unit
spin magnetization = 0.00 μB/atom
energy of formation = 1.890 eV per atom

(4)
CsAlGe3 after structural relaxation. Source: the Alexandria database, functional PBE.

Geometry as extended XYZ:
```
5
Lattice="-3.3515 1.1892 -3.7367 -1.5409 -4.9195 -0.1836 -3.6059 0.9969 3.5515" Properties=species:S:1:pos:R:3 pbc="T T T"
Cs -4.2491 -1.3667 -0.1844
Ge -0.7704 -2.4597 -0.0918
Ge -1.8030 0.4985 1.7757
Ge -1.6757 0.5946 -1.8683
Al 0.0000 0.0000 0.0000
```

distance to the lowest polymorph of the same formula = 0.00 eV per formula unit
spin magnetization = 0.00 μB/atom
energy of formation = 0.460 eV per atom